VASP calculation (PBE) on a geometry-optimized BeGaSi2 structure.

Cell: 7.5749 7.5749 7.5749 Å, 145.94 145.94 48.93°
Element x y z (fractional)
Be (0.0000, 0.0000, 0.0000)
Be (0.7500, 0.2500, 0.5000)
Ga (0.2500, 0.7500, 0.5000)
Ga (0.5000, 0.5000, 0.0000)
Si (0.0552, 0.6250, 0.9302)
Si (0.3750, 0.3052, 0.4302)
Si (0.6948, 0.1250, 0.0698)
Si (0.8750, 0.9448, 0.5698)

Results
Final energy   -4.071 eV per atom
Formation energy from raw total energies   0.329 eV/atom
DOS at the Fermi energy   0.3187 states/eV/atom
E above lowest polymorph   0.00 eV/f.u.

VASP calculation (PBE) on a geometry-optimized CeSc3Zn8 structure.

Cell: 5.3455 5.3455 8.5818 Å, 90.00 90.00 120.00°
Element x y z (fractional)
Ce (0.0000, 0.0000, 0.0000)
Sc (0.0000, 0.0000, 0.3743)
Sc (0.6667, 0.3333, 0.4980)
Sc (0.6667, 0.3333, 0.8719)
Zn (0.1626, 0.3253, 0.6798)
Zn (0.1626, 0.8374, 0.6798)
Zn (0.3333, 0.6667, 0.4384)
Zn (0.3333, 0.6667, 0.9351)
Zn (0.5047, 0.0095, 0.1933)
Zn (0.5047, 0.4953, 0.1933)
Zn (0.6747, 0.8374, 0.6798)
Zn (0.9905, 0.4953, 0.1933)

Results
Final energy   -3.226 eV per atom
Formation energy from the elements   -0.299 eV/atom
DOS at the Fermi energy   0.9435 states/eV/atom

VASP calculation (PBE) on a geometry-optimized La2Pm3Sm structure.

Cell: 6.8404 6.8404 9.2382 Å, 97.81 97.81 95.14°
Element x y z (fractional)
La (0.1241, 0.6256, 0.8752)
La (0.3744, 0.8759, 0.6248)
La (0.6256, 0.1241, 0.3752)
La (0.8759, 0.3744, 0.1248)
Pm (0.1672, 0.3335, 0.4998)
Pm (0.3335, 0.1672, 0.9998)
Pm (0.4167, 0.5833, 0.2500)
Pm (0.5833, 0.4167, 0.7500)
Pm (0.6665, 0.8328, 0.0002)
Pm (0.8328, 0.6665, 0.5002)
Sm (0.0835, 0.9165, 0.2500)
Sm (0.9165, 0.0835, 0.7500)

Results
Final energy   -4.755 eV per atom
Formation energy from the elements   0.049 eV/atom
DOS at the Fermi energy   1.5597 states/eV/atom
E above lowest polymorph   0.00 eV/f.u.

VASP calculation (PBE) on a geometry-optimized TaNbV structure.

Cell: 4.5560 4.5560 2.8085 Å, 90.00 90.00 120.00°
Element x y z (fractional)
Ta (0.0000, 0.0000, 0.0000)
Nb (0.3333, 0.6667, 0.3495)
V (0.6667, 0.3333, 0.6468)

Results
Final energy   -10.288 eV per atom
Formation energy from the elements   0.059 eV/atom
DOS at the Fermi energy   1.9224 states/eV/atom
E above lowest polymorph   0.10 eV/f.u.

VASP calculation (PBE) on a geometry-optimized BaNaSiMo2 structure.

Cell: 5.1736 5.1736 5.3166 Å, 90.00 90.00 90.00°
Element x y z (fractional)
Ba (0.0000, 0.0000, 0.0000)
Na (0.0000, 0.0000, 0.5000)
Si (0.5000, 0.5000, 0.5000)
Mo (0.0000, 0.5000, 0.0000)
Mo (0.5000, 0.0000, 0.0000)

Results
Final energy   -3.489 eV per atom
Formation energy from raw total energies   2.577 eV/atom
DOS at the Fermi energy   0.9135 states/eV/atom

VASP calculation (PBE) on a geometry-optimized Ho12MgPd6 structure.

Cell: 8.6149 8.6149 8.6149 Å, 109.47 109.47 109.47°
Element x y z (fractional)
Ho (0.1143, 0.8168, 0.2976)
Ho (0.1832, 0.2976, 0.4808)
Ho (0.1832, 0.7024, 0.8857)
Ho (0.2976, 0.1143, 0.8168)
Ho (0.2976, 0.4808, 0.1832)
Ho (0.4808, 0.1832, 0.2976)
Ho (0.5192, 0.8168, 0.7024)
Ho (0.7024, 0.5192, 0.8168)
Ho (0.7024, 0.8857, 0.1832)
Ho (0.8168, 0.2976, 0.1143)
Ho (0.8168, 0.7024, 0.5192)
Ho (0.8857, 0.1832, 0.7024)
Mg (0.0000, 0.0000, 0.0000)
Pd (0.1365, 0.6365, 0.5000)
Pd (0.3635, 0.5000, 0.8635)
Pd (0.5000, 0.1365, 0.6365)
Pd (0.5000, 0.8635, 0.3635)
Pd (0.6365, 0.5000, 0.1365)
Pd (0.8635, 0.3635, 0.5000)

Results
Final energy   -5.172 eV per atom
Formation energy from the elements   -0.557 eV/atom
DOS at the Fermi energy   1.2775 states/eV/atom